Computed, not measured: LaPm3Ho after structural relaxation at the PBE level of DFT.

Values from the calculation:
- ΔH_f (0 K) (eV per formula unit) = 1.01
- E above lowest polymorph (eV per atom) = 0.018
- E (eV per atom) = -4.5489
- space-group type = Ama2

Cell and atoms, written as POSCAR:
```
LaPm3Ho
1.0
5.9829 0.1864 0.0000
-2.0743 5.6149 0.0000
0.0000 0.0000 10.3734
La Pm Ho
2 6 2
Cartesian
4.0226 2.6260 7.7801 La
0.9229 4.7144 2.5934 La
2.9423 1.7741 0.6754 Pm
-0.0928 1.6348 2.5934 Pm
1.5499 0.5280 7.7801 Pm
0.5391 3.3932 5.8621 Pm
2.9423 1.7741 4.5113 Pm
0.5391 3.3932 9.6980 Pm
3.5538 5.2747 5.1867 Ho
3.5538 5.2747 0.0000 Ho
```